1.
Entry from the Open Quantum Materials Database: a relaxed Lu4CoSiC2 crystal (PBE-GGA).

DFT total energy: -51.0 eV per formula unit

Cell and atoms, written as extended XYZ:
```
8
Lattice="-2.752 1.646 -1.297 0.473 -3.363 -0.658 -7.339 -3.269 11.429" Properties=species:S:1:pos:R:3 pbc="T T T"
C -2.370 -2.481 1.882
C -6.174 -4.175 7.806
Co 0.000 0.000 0.000
Lu -2.745 -0.499 0.578
Lu -2.455 -1.093 3.823
Lu -4.884 -2.175 7.606
Lu -7.949 -2.817 8.683
Si -5.347 -1.658 4.631
```

2.
Entry from the Open Quantum Materials Database: a relaxed La2SmZn2Ge4Au2 crystal (PBE-GGA).

DFT total energy: -49.7 eV per formula unit

Cell and atoms, written as extended XYZ:
```
11
Lattice="-2.113 2.207 12.936 2.113 -2.207 12.936 2.113 2.207 -12.936" Properties=species:S:1:pos:R:3 pbc="T T T"
Au 0.000 2.207 10.489
Au 2.113 0.000 2.447
Ge 0.000 0.000 11.700
Ge 0.000 0.000 14.171
Ge 0.000 2.207 7.925
Ge 2.113 0.000 5.011
La 0.000 2.207 3.806
La 2.113 0.000 9.130
Sm 0.000 0.000 0.000
Zn 0.000 0.000 6.482
Zn 0.000 0.000 19.390
```

3.
Entry from the Open Quantum Materials Database: a relaxed GdTeAsO crystal (PBE-GGA).

excess energy over the best structure of this formula in the dataset: 0.7 kJ per mole of atoms

Cell and atoms, written as extended XYZ:
```
8
Lattice="3.752 0.000 0.000 0.000 7.136 0.000 0.000 0.000 8.014" Properties=species:S:1:pos:R:3 pbc="T T T"
As 0.000 3.108 2.413
As 0.000 4.028 6.420
Gd 0.000 5.665 3.889
Gd 0.000 1.471 7.896
O 1.876 6.504 3.422
O 1.876 0.632 7.429
Te 1.876 4.513 0.325
Te 1.876 2.623 4.332
```

4.
Entry from the Open Quantum Materials Database: a relaxed Mg2Tc crystal (PBE-GGA).

excess energy over the best structure of this formula in the dataset: 9.4 kJ per mole of atoms

Cell and atoms, written as extended XYZ:
```
12
Lattice="15.642 0.000 0.000 0.000 2.734 0.000 0.000 0.000 4.761" Properties=species:S:1:pos:R:3 pbc="T T T"
Mg 0.044 0.000 0.000
Mg 10.514 0.000 0.000
Mg 2.693 1.367 0.000
Mg 7.865 1.367 0.000
Mg 6.908 0.000 2.380
Mg 12.079 0.000 2.380
Mg 4.258 1.367 2.380
Mg 14.729 1.367 2.380
Tc 5.313 0.000 0.000
Tc 13.134 1.367 0.000
Tc 1.639 0.000 2.380
Tc 9.460 1.367 2.380
```

Number 1: theoretical density 9.3 g/cm3. Number 2: theoretical density 8.6 g/cm3. Number 3: theoretical density 5.8 g/cm3. Number 4: theoretical density 4.8 g/cm3.